# 1
A plane-wave DFT calculation with GGA-PBE was carried out for a relaxed structure of AcAlCdHg.

DOS(E_F)   1.82 states/eV/f.u.
Formation energy   -225 meV/atom
Calculated total energy   -2.492 eV/atom
Calculated density   8.8 g cm⁻³

abc: 5.3265 5.3265 5.3265
angles: 60.00 60.00 60.00
Positions (direct):
Ac (0.0000, 0.0000, 0.0000)
Al (0.5000, 0.5000, 0.5000)
Cd (0.2500, 0.2500, 0.2500)
Hg (0.7500, 0.7500, 0.7500)

# 2
A plane-wave DFT calculation with GGA-PBE was carried out for a relaxed structure of Li3Pr2YTe6.

Calculated total energy   -4.682 eV/atom
Raw formation energy   -15.571 eV/f.u.
Calculated density   5.3 g cm⁻³

abc: 7.6959 7.6959 7.5444
angles: 99.80 99.80 120.00
Positions (direct):
Li (0.0000, 0.0000, 0.0000)
Li (0.3329, 0.6671, 0.0000)
Li (0.6671, 0.3329, 0.0000)
Pr (0.1666, 0.8334, 0.5000)
Pr (0.8334, 0.1666, 0.5000)
Y (0.5000, 0.5000, 0.5000)
Te (0.0884, 0.4128, 0.2385)
Te (0.2625, 0.2625, 0.7599)
Te (0.4128, 0.0884, 0.2385)
Te (0.5872, 0.9116, 0.7615)
Te (0.7375, 0.7375, 0.2401)
Te (0.9116, 0.5872, 0.7615)

# 3
A plane-wave DFT calculation with GGA-PBE was carried out for a relaxed structure of SmDyCo2.

DOS(E_F)   1.08 states/eV/f.u.
Formation energy   -76 meV/atom
Calculated total energy   -5.959 eV/atom
Calculated density   9.3 g cm⁻³
Offset from the most stable computed form   78.7 meV/atom

abc: 4.7765 4.7765 4.7765
angles: 60.00 60.00 60.00
Positions (direct):
Sm (0.0000, 0.0000, 0.0000)
Dy (0.5000, 0.5000, 0.5000)
Co (0.2500, 0.2500, 0.2500)
Co (0.7500, 0.7500, 0.7500)

# 4
A plane-wave DFT calculation with GGA-PBE was carried out for a relaxed structure of Rb2SBr6O.

DOS(E_F)   10.15 states/eV/f.u.
Calculated total energy   -2.631 eV/atom
Raw formation energy   -5.249 eV/f.u.
Calculated density   3.8 g cm⁻³

abc: 7.4188 7.4188 7.4188
angles: 114.09 114.09 100.59
Positions (direct):
Rb (0.2500, 0.7500, 0.5000)
Rb (0.7500, 0.2500, 0.5000)
S (0.0000, 0.0000, 0.0000)
Br (0.2206, 0.2206, 0.4412)
Br (0.2206, 0.7794, 0.0000)
Br (0.2817, 0.2817, 0.0000)
Br (0.7183, 0.7183, 0.0000)
Br (0.7794, 0.2206, 0.0000)
Br (0.7794, 0.7794, 0.5588)
O (0.5000, 0.5000, 0.0000)

Look up the calculated total energy of the second one.
-4.682 eV/atom

Look up the calculated total energy of the fourth one.
-2.631 eV/atom

Repeat the second record exactly.
A plane-wave DFT calculation with GGA-PBE was carried out for a relaxed structure of Li3Pr2YTe6.

Calculated total energy   -4.682 eV/atom
Raw formation energy   -15.571 eV/f.u.
Calculated density   5.3 g cm⁻³

abc: 7.6959 7.6959 7.5444
angles: 99.80 99.80 120.00
Positions (direct):
Li (0.0000, 0.0000, 0.0000)
Li (0.3329, 0.6671, 0.0000)
Li (0.6671, 0.3329, 0.0000)
Pr (0.1666, 0.8334, 0.5000)
Pr (0.8334, 0.1666, 0.5000)
Y (0.5000, 0.5000, 0.5000)
Te (0.0884, 0.4128, 0.2385)
Te (0.2625, 0.2625, 0.7599)
Te (0.4128, 0.0884, 0.2385)
Te (0.5872, 0.9116, 0.7615)
Te (0.7375, 0.7375, 0.2401)
Te (0.9116, 0.5872, 0.7615)

What did the third record say?
A plane-wave DFT calculation with GGA-PBE was carried out for a relaxed structure of SmDyCo2.

DOS(E_F)   1.08 states/eV/f.u.
Formation energy   -76 meV/atom
Calculated total energy   -5.959 eV/atom
Calculated density   9.3 g cm⁻³
Offset from the most stable computed form   78.7 meV/atom

abc: 4.7765 4.7765 4.7765
angles: 60.00 60.00 60.00
Positions (direct):
Sm (0.0000, 0.0000, 0.0000)
Dy (0.5000, 0.5000, 0.5000)
Co (0.2500, 0.2500, 0.2500)
Co (0.7500, 0.7500, 0.7500)